! Pr16Nd6Ho7, relaxed, DFT PBE; values from VASP
! - total energy (eV for the cell shown) = -131.41
! - energy of formation (eV/f.u.) = 5.7
! - magnetic moment (μB/f.u.) = 2.31
! - density of states at the Fermi level (states/eV/atom) = 1.93
&SYSTEM
  ibrav = 0, nat = 29, ntyp = 3
/
ATOMIC_SPECIES
Pr 140.91 Pr.upf
Nd 144.24 Nd.upf
Ho 164.93 Ho.upf
CELL_PARAMETERS angstrom
0.000 8.046 8.046
8.046 0.000 8.046
8.046 8.046 0.000
ATOMIC_POSITIONS crystal
Pr 0.040 0.653 0.653
Pr 0.122 0.122 0.122
Pr 0.122 0.122 0.634
Pr 0.122 0.634 0.122
Pr 0.347 0.347 0.347
Pr 0.347 0.347 0.960
Pr 0.347 0.960 0.347
Pr 0.366 0.878 0.878
Pr 0.634 0.122 0.122
Pr 0.653 0.040 0.653
Pr 0.653 0.653 0.040
Pr 0.653 0.653 0.653
Pr 0.878 0.366 0.878
Pr 0.878 0.878 0.366
Pr 0.878 0.878 0.878
Pr 0.960 0.347 0.347
Nd 0.291 0.291 0.709
Nd 0.291 0.709 0.291
Nd 0.291 0.709 0.709
Nd 0.709 0.291 0.291
Nd 0.709 0.291 0.709
Nd 0.709 0.709 0.291
Ho 0.000 0.000 0.000
Ho 0.000 0.000 0.500
Ho 0.000 0.500 0.000
Ho 0.000 0.500 0.500
Ho 0.500 0.000 0.000
Ho 0.500 0.000 0.500
Ho 0.500 0.500 0.000